# Fe2CoGeO

A relaxed Fe2CoGeO crystal (PBE with a Hubbard U, Alexandria via LeMat-Bulk).

Values from the calculation:
- symmetry = P4/mmm, No. 123
- D(E_F) (states/eV per cell) = 1.2
- E_tot (eV for the cell shown) = -21.510

Unit cell a=4.7644 b=4.7644 c=3.8135 alpha=90.00 beta=90.00 gamma=90.00
Atoms (fractional coordinates):
Fe (0.0000, 0.5000, 0.0000)
Fe (0.5000, 0.0000, 0.0000)
Co (0.0000, 0.0000, 0.5000)
Ge (0.5000, 0.5000, 0.0000)
O (0.5000, 0.5000, 0.5000)